Entry a
First-principles (GGA-PBE) data for a relaxed Ho3ErBi4 crystal, as listed in the Alexandria database. Values from VASP.

Quantum ESPRESSO input file:
```
&SYSTEM
  ibrav = 0, nat = 16, ntyp = 3
/
ATOMIC_SPECIES
Ho 164.93 Ho.upf
Er 167.26 Er.upf
Bi 208.98 Bi.upf
ATOMIC_POSITIONS angstrom
Ho 0.000 0.000 0.000
Ho 2.227 3.149 2.228
Ho 2.227 9.446 2.228
Ho 4.453 6.297 0.000
Ho 6.680 3.149 2.228
Ho 6.680 9.446 2.228
Er 0.000 6.297 0.000
Er 4.453 0.000 0.000
Bi 0.000 3.154 0.000
Bi 0.000 9.441 0.000
Bi 2.221 6.297 2.228
Bi 2.232 0.000 2.228
Bi 4.453 3.143 0.000
Bi 4.453 9.451 0.000
Bi 6.674 0.000 2.228
Bi 6.686 6.297 2.228
CELL_PARAMETERS angstrom
8.907 0.000 0.000
0.000 12.594 0.000
0.000 0.000 4.456
```

---

Entry b
First-principles (GGA-PBE) data for a relaxed Ho3ErBi4 crystal, as listed in the Alexandria database. Values from VASP.

Quantum ESPRESSO input file:
```
&SYSTEM
  ibrav = 0, nat = 8, ntyp = 3
/
ATOMIC_SPECIES
Ho 164.93 Ho.upf
Er 167.26 Er.upf
Bi 208.98 Bi.upf
ATOMIC_POSITIONS angstrom
Ho 0.000 0.000 3.147
Ho 0.000 3.147 0.000
Ho 3.147 0.000 0.000
Er 3.147 3.147 3.147
Bi 0.000 0.000 0.000
Bi 0.000 3.147 3.147
Bi 3.147 0.000 3.147
Bi 3.147 3.147 0.000
CELL_PARAMETERS angstrom
6.294 0.000 0.000
0.000 6.294 0.000
0.000 0.000 6.294
```

---

From most stable to least stable, the computed energies give entry b, entry a.

---

Entry a
First-principles (GGA-PBE) data for a relaxed Ho3Er3MnBi2 crystal, as listed in the Alexandria database. Values from VASP.

Quantum ESPRESSO input file:
```
&SYSTEM
  ibrav = 0, nat = 9, ntyp = 4
/
ATOMIC_SPECIES
Ho 164.93 Ho.upf
Er 167.26 Er.upf
Mn 54.94 Mn.upf
Bi 208.98 Bi.upf
ATOMIC_POSITIONS angstrom
Ho -2.515 4.356 0.000
Ho 1.613 2.793 0.000
Ho 5.030 0.000 0.000
Er -0.958 1.660 2.131
Er 1.916 0.000 2.131
Er 3.169 5.489 2.131
Mn 0.000 0.000 0.000
Bi 0.000 4.766 2.131
Bi 4.127 2.383 2.131
CELL_PARAMETERS angstrom
8.255 0.000 0.000
-4.127 7.149 0.000
0.000 0.000 4.262
```

---

Entry b
First-principles (GGA-PBE) data for a relaxed Ho3Er3MnBi2 crystal, as listed in the Alexandria database. Values from VASP.

Quantum ESPRESSO input file:
```
&SYSTEM
  ibrav = 0, nat = 9, ntyp = 4
/
ATOMIC_SPECIES
Ho 164.93 Ho.upf
Er 167.26 Er.upf
Mn 54.94 Mn.upf
Bi 208.98 Bi.upf
ATOMIC_POSITIONS angstrom
Ho -3.170 5.491 0.000
Ho 0.965 1.671 0.000
Ho 6.340 0.000 0.000
Er -1.613 2.794 2.127
Er 3.226 0.000 2.127
Er 2.522 4.368 2.127
Mn 0.000 0.000 2.127
Bi 0.000 4.774 0.000
Bi 4.135 2.387 0.000
CELL_PARAMETERS angstrom
8.270 0.000 0.000
-4.135 7.162 0.000
0.000 0.000 4.253
```

---

From most stable to least stable, the computed energies give entry a, entry b.

---

Entry a
First-principles (GGA-PBE) data for a relaxed ErInBi2 crystal, as listed in the Alexandria database. Values from VASP.

Quantum ESPRESSO input file:
```
&SYSTEM
  ibrav = 0, nat = 4, ntyp = 3
/
ATOMIC_SPECIES
Er 167.26 Er.upf
In 114.82 In.upf
Bi 208.98 Bi.upf
ATOMIC_POSITIONS angstrom
Er 0.000 0.000 0.000
In 0.000 0.000 3.354
Bi 2.089 2.089 1.592
Bi 2.089 2.089 5.116
CELL_PARAMETERS angstrom
4.177 0.000 0.000
0.000 4.177 0.000
0.000 0.000 6.708
```

---

Entry b
First-principles (GGA-PBE) data for a relaxed ErInBi2 crystal, as listed in the Alexandria database. Values from VASP.

Quantum ESPRESSO input file:
```
&SYSTEM
  ibrav = 0, nat = 12, ntyp = 3
/
ATOMIC_SPECIES
Er 167.26 Er.upf
In 114.82 In.upf
Bi 208.98 Bi.upf
ATOMIC_POSITIONS angstrom
Er 0.000 0.000 0.000
Er 0.000 2.727 13.803
Er 2.362 1.363 6.901
In 0.000 0.000 3.476
In 0.000 2.727 17.279
In 2.362 1.363 10.378
Bi 0.000 0.000 8.437
Bi 0.000 0.000 12.161
Bi 0.000 2.727 1.536
Bi 0.000 2.727 5.259
Bi 2.362 1.363 15.339
Bi 2.362 1.363 19.062
CELL_PARAMETERS angstrom
4.723 0.000 0.000
-2.362 4.090 0.000
0.000 0.000 20.705
```

---

From most stable to least stable, the computed energies give entry a, entry b.

---

Entry a
First-principles (GGA-PBE) data for a relaxed LaErBi2 crystal, as listed in the Alexandria database. Values from VASP.

Quantum ESPRESSO input file:
```
&SYSTEM
  ibrav = 0, nat = 8, ntyp = 3
/
ATOMIC_SPECIES
La 138.91 La.upf
Er 167.26 Er.upf
Bi 208.98 Bi.upf
ATOMIC_POSITIONS angstrom
La 0.000 0.000 0.000
La 3.973 2.296 0.000
Er -1.328 2.296 3.720
Er 2.645 0.000 3.720
Bi -0.005 0.000 5.468
Bi 1.322 2.296 1.972
Bi 3.968 2.296 5.468
Bi 5.295 0.000 1.972
CELL_PARAMETERS angstrom
7.945 0.000 0.000
0.000 4.592 0.000
-2.656 0.000 7.440
```

---

Entry b
First-principles (GGA-PBE) data for a relaxed LaErBi2 crystal, as listed in the Alexandria database. Values from VASP.

Quantum ESPRESSO input file:
```
&SYSTEM
  ibrav = 0, nat = 12, ntyp = 3
/
ATOMIC_SPECIES
La 138.91 La.upf
Er 167.26 Er.upf
Bi 208.98 Bi.upf
ATOMIC_POSITIONS angstrom
La 0.000 0.000 0.000
La 0.000 2.625 15.549
La 2.273 1.313 7.774
Er 0.000 0.000 19.343
Er 0.000 2.625 11.569
Er 2.273 1.313 3.795
Bi 0.000 0.000 9.740
Bi 0.000 0.000 13.481
Bi 0.000 2.625 1.966
Bi 0.000 2.625 5.706
Bi 2.273 1.313 17.514
Bi 2.273 1.313 21.255
CELL_PARAMETERS angstrom
4.547 0.000 0.000
-2.273 3.938 0.000
0.000 0.000 23.323
```

---

From most stable to least stable, the computed energies give entry a, entry b.

---

Entry a
First-principles (GGA-PBE) data for a relaxed LiEr2Bi crystal, as listed in the Alexandria database. Values from VASP.

Quantum ESPRESSO input file:
```
&SYSTEM
  ibrav = 0, nat = 12, ntyp = 3
/
ATOMIC_SPECIES
Li 6.94 Li.upf
Er 167.26 Er.upf
Bi 208.98 Bi.upf
ATOMIC_POSITIONS angstrom
Li 0.000 0.000 0.000
Li 0.000 1.995 22.985
Li 1.727 0.997 11.493
Er 0.000 0.000 14.116
Er 0.000 0.000 20.362
Er 0.000 1.995 2.623
Er 0.000 1.995 8.869
Er 1.727 0.997 25.609
Er 1.727 0.997 31.854
Bi 0.000 0.000 17.239
Bi 0.000 1.995 5.746
Bi 1.727 0.997 28.731
CELL_PARAMETERS angstrom
3.455 0.000 0.000
-1.727 2.992 0.000
0.000 0.000 34.478
```

---

Entry b
First-principles (GGA-PBE) data for a relaxed LiEr2Bi crystal, as listed in the Alexandria database. Values from VASP.

Quantum ESPRESSO input file:
```
&SYSTEM
  ibrav = 0, nat = 4, ntyp = 3
/
ATOMIC_SPECIES
Li 6.94 Li.upf
Er 167.26 Er.upf
Bi 208.98 Bi.upf
ATOMIC_POSITIONS angstrom
Li 0.000 0.000 0.000
Er 0.000 2.431 2.199
Er 2.431 0.000 2.199
Bi 2.431 2.431 0.000
CELL_PARAMETERS angstrom
4.861 0.000 0.000
0.000 4.861 0.000
0.000 0.000 4.397
```

---

From most stable to least stable, the computed energies give entry b, entry a.

---

Entry a
First-principles (GGA-PBE) data for a relaxed ErLu2Bi crystal, as listed in the Alexandria database. Values from VASP.

Quantum ESPRESSO input file:
```
&SYSTEM
  ibrav = 0, nat = 4, ntyp = 3
/
ATOMIC_SPECIES
Er 167.26 Er.upf
Lu 174.97 Lu.upf
Bi 208.98 Bi.upf
ATOMIC_POSITIONS angstrom
Er 0.000 0.000 0.000
Lu 0.000 2.401 2.418
Lu 2.401 0.000 2.418
Bi 2.401 2.401 0.000
CELL_PARAMETERS angstrom
4.801 0.000 0.000
0.000 4.801 0.000
0.000 0.000 4.836
```

---

Entry b
First-principles (GGA-PBE) data for a relaxed ErLu2Bi crystal, as listed in the Alexandria database. Values from VASP.

Quantum ESPRESSO input file:
```
&SYSTEM
  ibrav = 0, nat = 12, ntyp = 3
/
ATOMIC_SPECIES
Er 167.26 Er.upf
Lu 174.97 Lu.upf
Bi 208.98 Bi.upf
ATOMIC_POSITIONS angstrom
Er 0.000 0.000 0.000
Er 0.000 2.019 23.557
Er 1.748 1.009 11.778
Lu 0.000 0.000 14.547
Lu 0.000 0.000 20.788
Lu 0.000 2.019 2.769
Lu 0.000 2.019 9.010
Lu 1.748 1.009 26.325
Lu 1.748 1.009 32.566
Bi 0.000 0.000 17.668
Bi 0.000 2.019 5.889
Bi 1.748 1.009 29.446
CELL_PARAMETERS angstrom
3.496 0.000 0.000
-1.748 3.028 0.000
0.000 0.000 35.335
```

---

From most stable to least stable, the computed energies give entry a, entry b.